An optimized crystal structure of AgHgCl2. Source: Alexandria, functional GGA-PBEsol.

Summary:
The offset from the most stable computed form comes out at 0.057 eV per atom. The symmetry is Pmmm (47). Its total energy is -8.88 eV/f.u. The calculation puts the total magnetic moment at 0.000 μB per formula unit.

abc: 4.0728 4.1289 5.4117
angles: 90.00 90.00 90.00
With the nearest neighbours (Å) after each atom.
Atoms (fractional coordinates):
Hg (0.5000, 0.5000, 0.0000)  6 Cl 2.71-2.90
Ag (0.0000, 0.0000, 0.5000)  6 Cl 2.71-2.90
Cl (0.0000, 0.0000, 0.0000)  2 Ag 2.71, 4 Hg 2.90
Cl (0.5000, 0.5000, 0.5000)  2 Hg 2.71, 4 Ag 2.90